# 1
The following is a PBE-GGA calculation of a relaxed structure of KSnPt2, from the Alexandria database.

a = 7.895 Å, b = 7.895 Å, c = 6.455 Å
α = 52.30°, β = 52.30°, γ = 90.00°
Atoms (fractional coordinates):
1 K 0.500 0.500 0.000
2 K 0.250 0.750 0.500
3 Sn 0.000 0.000 0.000
4 Sn 0.750 0.250 0.500
5 Pt 0.689 0.125 0.250
6 Pt 0.061 0.625 0.250
7 Pt 0.375 0.311 0.750
8 Pt 0.875 0.939 0.750

Values from the calculation:
VASP energy (Ha/atom): -0.1551
Symmetry: I-42d
Formation enthalpy at 0 K (eV/f.u.): 0.303


# 2
The following is a PBE-GGA calculation of a relaxed structure of KSn3Pt3, from the Alexandria database.

a = 7.333 Å, b = 7.333 Å, c = 9.482 Å
α = 67.25°, β = 67.25°, γ = 60.00°
Atoms (fractional coordinates):
1 K 0.342 0.342 0.973
2 K 0.658 0.658 0.027
3 Sn 0.146 0.570 0.316
4 Sn 0.967 0.146 0.316
5 Sn 0.570 0.967 0.316
6 Sn 0.430 0.033 0.684
7 Sn 0.033 0.854 0.684
8 Sn 0.854 0.430 0.684
9 Pt 0.461 0.699 0.628
10 Pt 0.699 0.212 0.628
11 Pt 0.212 0.461 0.628
12 Pt 0.788 0.539 0.372
13 Pt 0.301 0.788 0.372
14 Pt 0.539 0.301 0.372

Values from the calculation:
VASP energy (Ha/atom): -0.1771
Symmetry: R-3
Formation enthalpy at 0 K (eV/f.u.): -2.513


# 3
The following is a PBE-GGA calculation of a relaxed structure of KSnPt2, from the Alexandria database.

a = 4.651 Å, b = 4.651 Å, c = 6.499 Å
α = 69.03°, β = 69.03°, γ = 60.00°
Atoms (fractional coordinates):
1 K 0.500 0.500 0.500
2 Sn 0.000 0.000 0.000
3 Pt 0.315 0.315 0.055
4 Pt 0.685 0.685 0.945

Values from the calculation:
VASP energy (Ha/atom): -0.1711
Symmetry: R-3m
Formation enthalpy at 0 K (eV/f.u.): -1.436


# 4
The following is a PBE-GGA calculation of a relaxed structure of K2Sn2Pt, from the Alexandria database.

a = 4.815 Å, b = 4.815 Å, c = 16.652 Å
α = 98.31°, β = 98.31°, γ = 90.00°
Atoms (fractional coordinates):
1 K 0.827 0.827 0.654
2 K 0.577 0.077 0.154
3 K 0.923 0.423 0.846
4 K 0.173 0.173 0.346
5 Sn 0.468 0.968 0.936
6 Sn 0.718 0.718 0.436
7 Sn 0.282 0.282 0.564
8 Sn 0.032 0.532 0.064
9 Pt 0.500 0.500 0.000
10 Pt 0.250 0.750 0.500

Values from the calculation:
VASP energy (Ha/atom): -0.1281
Symmetry: I4_1/amd
Formation enthalpy at 0 K (eV/f.u.): -1.184


# 5
The following is a PBE-GGA calculation of a relaxed structure of KSn4Pt4, from the Alexandria database.

a = 5.359 Å, b = 9.117 Å, c = 9.117 Å
α = 90.00°, β = 90.00°, γ = 90.00°
Atoms (fractional coordinates):
1 K 0.000 0.000 0.000
2 K 0.500 0.500 0.500
3 Sn 0.415 0.370 0.876
4 Sn 0.915 0.624 0.870
5 Sn 0.415 0.630 0.124
6 Sn 0.085 0.130 0.624
7 Sn 0.585 0.876 0.630
8 Sn 0.085 0.870 0.376
9 Sn 0.915 0.376 0.130
10 Sn 0.585 0.124 0.370
11 Pt 0.578 0.830 0.329
12 Pt 0.578 0.170 0.671
13 Pt 0.078 0.829 0.670
14 Pt 0.922 0.330 0.829
15 Pt 0.922 0.670 0.171
16 Pt 0.422 0.329 0.170
17 Pt 0.422 0.671 0.830
18 Pt 0.078 0.171 0.330

Values from the calculation:
VASP energy (Ha/atom): -0.1874
Symmetry: P4_2/n
Formation enthalpy at 0 K (eV/f.u.): -4.613


# 6
The following is a PBE-GGA calculation of a relaxed structure of KSn3Pt2, from the Alexandria database.

a = 4.588 Å, b = 9.190 Å, c = 11.322 Å
α = 108.19°, β = 90.00°, γ = 104.46°
Atoms (fractional coordinates):
1 K 0.160 0.319 0.700
2 K 0.840 0.681 0.300
3 K 0.000 0.000 0.000
4 Sn 0.036 0.073 0.347
5 Sn 0.964 0.927 0.653
6 Sn 0.219 0.438 0.382
7 Sn 0.781 0.562 0.618
8 Sn 0.624 0.248 0.181
9 Sn 0.376 0.752 0.819
10 Sn 0.500 0.000 0.500
11 Sn 0.330 0.659 0.052
12 Sn 0.670 0.341 0.948
13 Pt 0.195 0.390 0.120
14 Pt 0.805 0.610 0.880
15 Pt 0.479 0.958 0.223
16 Pt 0.521 0.042 0.777
17 Pt 0.358 0.717 0.568
18 Pt 0.642 0.283 0.432

Values from the calculation:
VASP energy (Ha/atom): -0.1688
Symmetry: C2/m
Formation enthalpy at 0 K (eV/f.u.): -2.371


# 7
The following is a PBE-GGA calculation of a relaxed structure of K4Sn3Pt2, from the Alexandria database.

a = 4.306 Å, b = 8.271 Å, c = 9.176 Å
α = 105.25°, β = 103.57°, γ = 90.00°
Atoms (fractional coordinates):
1 K 0.225 0.674 0.450
2 K 0.775 0.326 0.550
3 K 0.583 0.889 0.166
4 K 0.417 0.111 0.834
5 Sn 0.104 0.245 0.208
6 Sn 0.896 0.755 0.792
7 Sn 0.000 0.500 0.000
8 Pt 0.424 0.581 0.848
9 Pt 0.576 0.419 0.152

Values from the calculation:
VASP energy (Ha/atom): -0.1278
Symmetry: C2/m
Formation enthalpy at 0 K (eV/f.u.): -2.816


# 8
The following is a PBE-GGA calculation of a relaxed structure of K2SnPt2, from the Alexandria database.

a = 6.894 Å, b = 6.894 Å, c = 5.527 Å
α = 90.00°, β = 90.00°, γ = 90.00°
Atoms (fractional coordinates):
1 K 0.172 0.672 0.500
2 K 0.672 0.828 0.500
3 K 0.828 0.328 0.500
4 K 0.328 0.172 0.500
5 Sn 0.000 0.000 0.000
6 Sn 0.500 0.500 0.000
7 Pt 0.365 0.865 0.000
8 Pt 0.865 0.635 0.000
9 Pt 0.635 0.135 0.000
10 Pt 0.135 0.365 0.000

Values from the calculation:
VASP energy (Ha/atom): -0.1427
Symmetry: P4/mbm
Formation enthalpy at 0 K (eV/f.u.): -1.130


# 9
The following is a PBE-GGA calculation of a relaxed structure of KSn4Pt2, from the Alexandria database.

a = 5.527 Å, b = 5.527 Å, c = 8.099 Å
α = 70.05°, β = 70.05°, γ = 90.00°
Atoms (fractional coordinates):
1 K 0.000 0.000 0.000
2 Sn 0.771 0.771 0.458
3 Sn 0.229 0.229 0.542
4 Sn 0.000 0.500 0.000
5 Sn 0.500 0.000 0.000
6 Pt 0.594 0.594 0.813
7 Pt 0.406 0.406 0.187

Values from the calculation:
VASP energy (Ha/atom): -0.1316
Symmetry: I4/mmm
Formation enthalpy at 0 K (eV/f.u.): 4.118


# 10
The following is a PBE-GGA calculation of a relaxed structure of KSnPt2, from the Alexandria database.

a = 4.245 Å, b = 4.245 Å, c = 10.528 Å
α = 90.00°, β = 90.00°, γ = 90.00°
Atoms (fractional coordinates):
1 K 0.500 0.000 0.192
2 K 0.000 0.500 0.808
3 Sn 0.500 0.000 0.660
4 Sn 0.000 0.500 0.340
5 Pt 0.500 0.000 0.904
6 Pt 0.000 0.500 0.096
7 Pt 0.000 0.000 0.500
8 Pt 0.500 0.500 0.500

Values from the calculation:
VASP energy (Ha/atom): -0.1595
Symmetry: P4/nmm
Formation enthalpy at 0 K (eV/f.u.): -0.182


# 11
The following is a PBE-GGA calculation of a relaxed structure of K2SnPt, from the Alexandria database.

a = 4.597 Å, b = 4.596 Å, c = 9.378 Å
α = 75.84°, β = 75.81°, γ = 59.99°
Atoms (fractional coordinates):
1 K 0.890 0.653 0.567
2 K 0.715 0.478 0.092
3 Sn 0.469 0.232 0.829
4 Pt 0.136 0.899 0.830

Values from the calculation:
VASP energy (Ha/atom): -0.1231
Symmetry: R3m
Formation enthalpy at 0 K (eV/f.u.): -1.161


# 12
The following is a PBE-GGA calculation of a relaxed structure of K2SnPt, from the Alexandria database.

a = 3.677 Å, b = 3.677 Å, c = 10.082 Å
α = 90.00°, β = 90.00°, γ = 90.00°
Atoms (fractional coordinates):
1 K 0.000 0.000 0.084
2 K 0.500 0.500 0.672
3 Sn 0.000 0.000 0.421
4 Pt 0.500 0.500 0.323

Values from the calculation:
VASP energy (Ha/atom): -0.1205
Symmetry: P4mm
Formation enthalpy at 0 K (eV/f.u.): -0.872